Record 1
A relaxed SrCd2Ni2 crystal. Source: Alexandria via LeMat-Bulk, functional GGA-PBEsol.

Calculated values
ΔE_f, meV per atom: -56
Raw total energy, eV per formula unit: -16.83
DOS at the Fermi energy, states/eV/atom: 0.591
Total moment, μB per formula unit: 0.00

Geometry as CIF:
```
data_SrCd2Ni2
_chemical_formula_sum 'Sr2 Cd4 Ni4'
_cell_length_a 4.261
_cell_length_b 4.261
_cell_length_c 10.889
_cell_angle_alpha 90.00
_cell_angle_beta 90.00
_cell_angle_gamma 90.00
_symmetry_space_group_name_H-M 'I 4/m m m'
_symmetry_Int_Tables_number 139
_symmetry_space_group_name_Hall '-I 4 2'
loop_
_atom_site_label
_atom_site_type_symbol
_atom_site_fract_x
_atom_site_fract_y
_atom_site_fract_z
Sr1 Sr 0.000 0.000 0.000
Cd1 Cd 0.000 0.500 0.250
Ni1 Ni 0.000 0.000 0.396
```

***

Record 2
A relaxed Cr3Tc crystal. Source: Alexandria via LeMat-Bulk, functional GGA-PBEsol.

Calculated values
ΔE_f, meV per atom: 2116
Raw total energy, eV per formula unit: -33.53
DOS at the Fermi energy, states/eV/atom: 0.734
Total moment, μB per formula unit: 9.32

Geometry as CIF:
```
data_Cr3Tc
_chemical_formula_sum 'Cr3 Tc1'
_cell_length_a 4.633
_cell_length_b 4.633
_cell_length_c 4.633
_cell_angle_alpha 90.00
_cell_angle_beta 90.00
_cell_angle_gamma 90.00
_symmetry_space_group_name_H-M 'P m -3 m'
_symmetry_Int_Tables_number 221
_symmetry_space_group_name_Hall '-P 4 2 3'
loop_
_atom_site_label
_atom_site_type_symbol
_atom_site_fract_x
_atom_site_fract_y
_atom_site_fract_z
Cr1 Cr 0.000 0.000 0.500
Tc1 Tc 0.000 0.000 0.000
```

***

Record 3
A relaxed CeSF crystal. Source: Alexandria via LeMat-Bulk, functional GGA-PBEsol.

Calculated values
Formation energy (no corrections), kJ per mole of atoms: -281.4
Raw total energy, eV per formula unit: -21.66
DOS at the Fermi energy, states/eV/atom: 1.985
Total moment, μB per formula unit: 0.90

Geometry as CIF:
```
data_CeSF
_chemical_formula_sum 'Ce2 S2 F2'
_cell_length_a 3.877
_cell_length_b 3.877
_cell_length_c 6.883
_cell_angle_alpha 90.00
_cell_angle_beta 90.00
_cell_angle_gamma 90.00
_symmetry_space_group_name_H-M 'P 4/n m m'
_symmetry_Int_Tables_number 129
loop_
_symmetry_equiv_pos_as_xyz
'x,y,z'
'-x,-y,-z'
'-y+1/2,x,z'
'y+1/2,-x,-z'
'-x+1/2,-y+1/2,z'
'x+1/2,y+1/2,-z'
'y,-x+1/2,z'
'-y,x+1/2,-z'
'x+1/2,-y,-z'
'-x+1/2,y,z'
'-y,-x,-z'
'y,x,z'
'-x,y+1/2,-z'
'x,-y+1/2,z'
'y+1/2,x+1/2,-z'
'-y+1/2,-x+1/2,z'
loop_
_atom_site_label
_atom_site_type_symbol
_atom_site_fract_x
_atom_site_fract_y
_atom_site_fract_z
Ce1 Ce 0.250 0.250 0.236
S1 S 0.250 0.250 0.648
F1 F 0.250 0.750 0.000
```

***

Record 4
A relaxed Zn2CdSb crystal. Source: Alexandria via LeMat-Bulk, functional GGA-PBEsol.

Calculated values
Formation energy (no corrections), kJ per mole of atoms: 12.7
Raw total energy, eV per formula unit: -8.39
DOS at the Fermi energy, states/eV/atom: 0.347
Distance to the lowest polymorph of the same formula, meV/atom: 0.0
Total moment, μB per formula unit: 0.00

Geometry as CIF:
```
data_Zn2CdSb
_chemical_formula_sum 'Zn2 Cd1 Sb1'
_cell_length_a 4.305
_cell_length_b 4.436
_cell_length_c 4.393
_cell_angle_alpha 90.00
_cell_angle_beta 99.67
_cell_angle_gamma 90.00
_symmetry_space_group_name_H-M 'P 1 m 1'
_symmetry_Int_Tables_number 6
_symmetry_space_group_name_Hall 'P -2y'
loop_
_atom_site_label
_atom_site_type_symbol
_atom_site_fract_x
_atom_site_fract_y
_atom_site_fract_z
Zn1 Zn 0.000 0.000 0.000
Zn2 Zn 0.150 0.500 0.782
Cd1 Cd 0.728 0.500 0.217
Sb1 Sb 0.434 0.000 0.553
```

***

Record 5
A relaxed HoRu2 crystal. Source: Alexandria via LeMat-Bulk, functional GGA-PBEsol.

Calculated values
ΔE_f, meV per atom: -303
Raw total energy, eV per formula unit: -26.20
DOS at the Fermi energy, states/eV/atom: 1.172
Total moment, μB per formula unit: 0.00

Geometry as CIF:
```
data_HoRu2
_chemical_formula_sum 'Ho4 Ru8'
_cell_length_a 5.1798
_cell_length_b 5.1798
_cell_length_c 8.7671
_cell_angle_alpha 90.00
_cell_angle_beta 90.00
_cell_angle_gamma 120.00
_symmetry_space_group_name_H-M 'P 63/m m c'
_symmetry_Int_Tables_number 194
_symmetry_space_group_name_Hall '-P 6c 2c'
loop_
_atom_site_label
_atom_site_type_symbol
_atom_site_fract_x
_atom_site_fract_y
_atom_site_fract_z
Ho1 Ho 0.3333 0.6667 0.0666
Ru1 Ru 0.0000 0.0000 0.0000
Ru2 Ru 0.1704 0.3408 0.7500
```

***

Record 6
A relaxed Tl2SbBr crystal. Source: Alexandria via LeMat-Bulk, functional GGA-PBEsol.

Calculated values
Formation energy (no corrections), kJ per mole of atoms: -5.4
Raw total energy, eV per formula unit: -11.91
DOS at the Fermi energy, states/eV/atom: 0.475
Distance to the lowest polymorph of the same formula, meV/atom: 181.7
Total moment, μB per formula unit: 0.00

Geometry as CIF:
```
data_Tl2SbBr
_chemical_formula_sum 'Tl8 Sb4 Br4'
_cell_length_a 7.596
_cell_length_b 7.596
_cell_length_c 7.596
_cell_angle_alpha 90.00
_cell_angle_beta 90.00
_cell_angle_gamma 90.00
_symmetry_space_group_name_H-M 'F -4 3 m'
_symmetry_Int_Tables_number 216
_symmetry_space_group_name_Hall 'F -4 2 3'
loop_
_atom_site_label
_atom_site_type_symbol
_atom_site_fract_x
_atom_site_fract_y
_atom_site_fract_z
Tl1 Tl 0.000 0.000 0.000
Tl2 Tl 0.250 0.250 0.250
Sb1 Sb 0.000 0.000 0.500
Br1 Br 0.250 0.250 0.750
```

***

Record 7
A relaxed BaZr2Bi2 crystal. Source: Alexandria via LeMat-Bulk, functional GGA-PBEsol.

Calculated values
ΔE_f, meV per atom: -492
Raw total energy, eV per formula unit: -31.36
DOS at the Fermi energy, states/eV/atom: 1.146
Total moment, μB per formula unit: 0.00

Geometry as CIF:
```
data_BaZr2Bi2
_chemical_formula_sum 'Ba2 Zr4 Bi4'
_cell_length_a 4.495
_cell_length_b 4.495
_cell_length_c 14.911
_cell_angle_alpha 90.00
_cell_angle_beta 90.00
_cell_angle_gamma 90.00
_symmetry_space_group_name_H-M 'I 4/m m m'
_symmetry_Int_Tables_number 139
_symmetry_space_group_name_Hall '-I 4 2'
loop_
_atom_site_label
_atom_site_type_symbol
_atom_site_fract_x
_atom_site_fract_y
_atom_site_fract_z
Ba1 Ba 0.000 0.000 0.000
Zr1 Zr 0.000 0.500 0.250
Bi1 Bi 0.000 0.000 0.383
```

***

Record 8
A relaxed V6GeOs crystal. Source: Alexandria via LeMat-Bulk, functional GGA-PBEsol.

Calculated values
ΔE_f, meV per atom: -356
Raw total energy, eV per formula unit: -77.81
DOS at the Fermi energy, states/eV/atom: 0.784
Total moment, μB per formula unit: 0.00

Geometry as CIF:
```
data_V6GeOs
_chemical_formula_sum 'V6 Ge1 Os1'
_cell_length_a 4.713
_cell_length_b 4.713
_cell_length_c 4.713
_cell_angle_alpha 90.00
_cell_angle_beta 90.00
_cell_angle_gamma 90.00
_symmetry_space_group_name_H-M 'P m -3'
_symmetry_Int_Tables_number 200
_symmetry_space_group_name_Hall '-P 2 2 3'
loop_
_atom_site_label
_atom_site_type_symbol
_atom_site_fract_x
_atom_site_fract_y
_atom_site_fract_z
V1 V 0.000 0.247 0.500
Ge1 Ge 0.500 0.500 0.500
Os1 Os 0.000 0.000 0.000
```

***

Number 1: V 19.77 Å³ per atom. Number 2: V 24.86 Å³ per atom. Number 3: V 17.24 Å³ per atom. Number 4: V 20.68 Å³ per atom. Number 5: V 16.98 Å³ per atom. Number 6: V 27.39 Å³ per atom. Number 7: V 30.13 Å³ per atom. Number 8: V 13.08 Å³ per atom.